## ScCrNi2 (PBE-GGA)

Data for crystalline ScCrNi2 at its relaxed geometry.

The space group is P4/mmm (No. 123) and the conventional cell measures 2.7175, 2.7175 and 7.1570 Å, with angles of 90.00, 90.00 and 90.00 degrees. The asymmetric unit holds Sc at (0.0000, 0.0000, 0.0000), Cr at (0.0000, 0.0000, 0.5000) and Ni at (0.5000, 0.5000, 0.2775).

The value obtained for the uncorrected energy is -27.54 eV per cell. The calculation puts the energy relative to the elements at -0.007 eV per atom. Its calculated volume is 13.214 Å³/atom. As for the crystal system: tetragonal. The value obtained for the magnetic moment is 0.41 μB/f.u. The polymorph energy (0 for the lowest one) comes out at 152 meV/atom.